The following is a DFT calculation (PBE-GGA) of TbCdBiAu after structural relaxation.

Calculated values
As for the total energy: -3.55 eV/atom. As for the formation energy: -374 meV per atom. As for the total magnetization: 0.00 μB/atom.

Unit cell a=5.2197 b=5.2197 c=5.2197 alpha=60.00 beta=60.00 gamma=60.00
With the nearest neighbours (Å) after each atom.
Fractional positions:
Tb 0.0000 0.0000 0.0000  4 Bi 3.20, 4 Au 3.20
Cd 0.5000 0.5000 0.5000  4 Bi 3.20, 4 Au 3.20
Bi 0.7500 0.7500 0.7500  4 Cd 3.20, 4 Tb 3.20
Au 0.2500 0.2500 0.2500  4 Cd 3.20, 4 Tb 3.20